# CrPt2Br2 (PBE, relaxed)
data_CrPt2Br2
_symmetry_space_group_name_H-M 'P 4/m b m'
_symmetry_Int_Tables_number 127
_symmetry_space_group_name_Hall '-P 4 2ab'
_cell_length_a 6.644
_cell_length_b 6.644
_cell_length_c 4.762
_cell_angle_alpha 90.00
_cell_angle_beta 90.00
_cell_angle_gamma 90.00
loop_
_atom_site_label
_atom_site_type_symbol
_atom_site_fract_x
_atom_site_fract_y
_atom_site_fract_z
_atom_site_occupancy
Cr1 Cr 0.000 0.000 0.000 1
Pt1 Pt 0.241 0.259 0.500 1
Br1 Br 0.168 0.332 0.000 1
# relative energy among the computed polymorphs: 80 meV/atom
# density of states at the Fermi level: 4.20 states/eV/cell
# electronic total energy: -4.494 eV per atom
# formation energy (no corrections): 2.6 eV per formula unit